(1)
Here is KIr2Os after structural relaxation from Alexandria via LeMat-Bulk. Energies are from GGA-PBE.

Structure (POSCAR):
```
KIr2Os
1.0
-3.1961 -4.0603 -3.0322
-3.2898 -4.9807 -0.5151
-6.1301 1.3336 0.2596
K Ir Os
1 2 1
direct
0.7500 0.7500 0.7500
0.5501 0.5501 0.3635
0.9499 0.9499 0.1365
0.2500 0.2500 0.2500
```

space group: No. 12
offset from the most stable computed form: 287 meV/atom



(2)
Here is Th2FeS5 after structural relaxation from Alexandria via LeMat-Bulk. Energies are from GGA-PBE.

Structure (POSCAR):
```
Th2FeS5
1.0
6.3658 -4.4410 2.4985
6.5699 -3.0669 -3.7309
4.3799 5.5814 1.3746
S Th Fe
10 4 2
direct
0.8533 0.7034 0.3117
0.0785 0.9215 0.2500
0.9215 0.0785 0.7500
0.5367 0.2815 0.4325
0.7034 0.8533 0.8117
0.7185 0.4633 0.0675
0.1467 0.2966 0.6883
0.2966 0.1467 0.1883
0.2815 0.5367 0.9325
0.4633 0.7185 0.5675
0.6739 0.1126 0.0788
0.3261 0.8874 0.9212
0.8874 0.3261 0.4212
0.1126 0.6739 0.5788
0.5000 0.0000 0.5000
0.0000 0.5000 0.0000
```

space group: No. 15
E_form (uncorrected): -12.25 eV/f.u.



(3)
Here is AgPtW2 after structural relaxation from Alexandria via LeMat-Bulk. Energies are from GGA-PBE.

Structure (POSCAR):
```
AgPtW2
1.0
4.9076 0.0000 0.0000
0.0000 4.9076 0.0000
0.0000 0.0000 2.7200
W Pt Ag
2 1 1
direct
0.0000 0.0000 0.0000
0.5000 0.5000 0.0000
0.0000 0.5000 0.5000
0.5000 0.0000 0.5000
```

space group: No. 123
offset from the most stable computed form: 437 meV/atom



Total magnetization: 0.0, 7.9, 0.0 (μB/cell)
N(E_F): 4.5, 2.1, 3.9 (states/eV/f.u.)